Material: Dy3Si2BRu3
Method: DFT, PBE
State: optimized geometry

abc: 3.5404 7.0545 7.0545
angles: 120.00 90.00 90.00
Last column: nearest neighbours and their distance in Å.
Fractional coordinates of all 9 atoms:
1 Dy 0.0000 0.0000 0.3797  1 B 2.68, 4 Si 2.83, 4 Ru 2.93
2 Dy 0.0000 0.6203 0.6203  1 B 2.68, 4 Si 2.83, 4 Ru 2.93
3 Dy 0.0000 0.3797 0.0000  1 B 2.68, 4 Si 2.83, 4 Ru 2.93
4 Si 0.5000 0.3333 0.6667  3 Ru 2.78, 6 Dy 2.83
5 Si 0.5000 0.6667 0.3333  3 Ru 2.78, 6 Dy 2.83
6 B 0.0000 0.0000 0.0000  6 Ru 2.41, 3 Dy 2.68
7 Ru 0.5000 0.7686 0.0000  2 B 2.41
8 Ru 0.5000 0.2314 0.2314  2 B 2.41
9 Ru 0.5000 0.0000 0.7686  2 B 2.41

Calculated values
total magnetization = 0.00 μB/f.u.
density of states at the Fermi level = 2.9 states/eV per cell
raw formation energy = -573.0 meV/atom